# Na3Tb2MnO6 GGA+U relaxed
data_Na3Tb2MnO6
_chemical_formula_sum 'Na6 Tb4 Mn2 O12'
_space_group_name_H-M_alt 'C 1 2/m 1'
_space_group_IT_number 12
_space_group_name_Hall '-C 2y'
_cell_length_a 5.7318
_cell_length_b 10.0594
_cell_length_c 5.8535
_cell_angle_alpha 90.00
_cell_angle_beta 108.40
_cell_angle_gamma 90.00
loop_
_atom_site_label
_atom_site_type_symbol
_atom_site_fract_x
_atom_site_fract_y
_atom_site_fract_z
Na1 Na 0.0000 0.0000 0.0000
Na2 Na 0.0000 0.3402 0.0000
Tb1 Tb 0.0000 0.1697 0.5000
Mn1 Mn 0.0000 0.5000 0.5000
O1 O 0.2308 0.5000 0.3076
O2 O 0.2334 0.3386 0.7181
# Spin magnetization ... 4.00 μB/f.u.
# Calculated total energy ... -78.7 eV/f.u.